This record from the Alexandria database describes an optimized crystal structure of Cs2SrVF6. The functional is GGA+U.

Summary:
total energy = -5.306 eV/atom
magnetic moment = 3.00 μB/cell
density of states at the Fermi level = 0.0 states/eV per cell

Cell: 6.4621 6.4621 6.4675 Å, 60.03 60.03 90.00°
Fractional positions:
Cs 0.7500 0.2500 0.5000
Cs 0.2500 0.7500 0.5000
Sr 0.0000 0.0000 0.0000
F 0.2648 0.2648 0.4705
F 0.7352 0.7352 0.5295
F 0.2652 0.2652 0.0000
F 0.7348 0.7348 0.0000
F 0.7348 0.2652 0.0000
F 0.2652 0.7348 0.0000
V 0.5000 0.5000 0.0000